#A
This record from the Alexandria database describes CrCdRe at its PBEsol-relaxed geometry. The functional is SCAN.

Computed properties:
magnetic moment: 0.00 μB/f.u.

Geometry as CIF:
```
data_CrCdRe
_chemical_formula_sum 'Cr2 Cd2 Re2'
_cell_length_a 2.991
_cell_length_b 2.991
_cell_length_c 10.219
_cell_angle_alpha 90.00
_cell_angle_beta 90.00
_cell_angle_gamma 90.00
_symmetry_space_group_name_H-M 'I 4 m m'
_symmetry_Int_Tables_number 107
_symmetry_space_group_name_Hall 'I 4 -2'
loop_
_atom_site_label
_atom_site_type_symbol
_atom_site_fract_x
_atom_site_fract_y
_atom_site_fract_z
_atom_site_occupancy
Cr1 Cr 0.000 0.000 0.000 1
Cd1 Cd 0.000 0.000 0.315 1
Re1 Re 0.000 0.000 0.617 1
```

#B
This record from the Alexandria database describes CrCdRe at its PBEsol-relaxed geometry. The functional is SCAN.

Computed properties:
magnetic moment: 1.83 μB/f.u.

Geometry as CIF:
```
data_CrCdRe
_chemical_formula_sum 'Cr4 Cd4 Re4'
_cell_length_a 6.090
_cell_length_b 6.090
_cell_length_c 6.090
_cell_angle_alpha 90.00
_cell_angle_beta 90.00
_cell_angle_gamma 90.00
_symmetry_space_group_name_H-M 'F -4 3 m'
_symmetry_Int_Tables_number 216
_symmetry_space_group_name_Hall 'F -4 2 3'
loop_
_atom_site_label
_atom_site_type_symbol
_atom_site_fract_x
_atom_site_fract_y
_atom_site_fract_z
_atom_site_occupancy
Cr1 Cr 0.000 0.000 0.000 1
Cd1 Cd 0.250 0.250 0.750 1
Re1 Re 0.000 0.000 0.500 1
```

What is the most stable structure shown above? It is #A.